Record 1
Material: LaTlO3
Method: DFT, PBE
State: relaxed

a b c (Å): 4.267 4.267 4.267
angles (deg): 90.00 90.00 90.00
Atoms (fractional coordinates):
La: 0.000 0.000 0.000
Tl: 0.500 0.500 0.500
O: 0.000 0.500 0.500
O: 0.500 0.000 0.500
O: 0.500 0.500 0.000

Record 2
Material: La3TlO
Method: DFT, PBE
State: relaxed

a b c (Å): 9.755 9.755 6.099
angles (deg): 90.00 90.00 133.67
Atoms (fractional coordinates):
La: 0.000 0.000 0.000
La: 0.000 0.000 0.500
La: 0.081 0.426 0.750
La: 0.426 0.081 0.250
La: 0.574 0.919 0.750
La: 0.919 0.574 0.250
Tl: 0.170 0.830 0.750
Tl: 0.830 0.170 0.250
O: 0.379 0.621 0.750
O: 0.621 0.379 0.250

| no. | ΔE_f (raw) (kJ/mol of atoms) |
| --- | --- |
| 1 | -147.5 |
| 2 | -79.7 |